{
  "formula": "Ca2OsSe",
  "functional": "PBEsol",
  "state": "optimized geometry",
  "lattice": [[3.574, 0.000, 0.000], [0.000, 3.574, 0.000], [0.000, 0.000, 6.426]],
  "species": ["Ca", "Ca", "Os", "Se"],
  "fractional_positions": [[0.000, 0.000, 0.250], [0.000, 0.000, 0.750], [0.500, 0.500, 0.000], [0.500, 0.500, 0.500]],
  "energy_ev_per_atom": -5.359
}